RbZn2WF8: optimized geometry, PBE+U.

theoretical density	4.5	g cm⁻³
DFT total energy	-4.572	eV per atom
crystal system	trigonal
space group	R-3 (148)

Cell and atoms, written as extended XYZ:
```
12
Lattice="5.394 0.000 0.000 2.697 4.672 0.000 2.697 1.557 8.082" Properties=species:S:1:pos:R:3 pbc="T T T"
Rb 5.394 3.114 4.041
Zn 2.697 1.557 1.983
Zn 8.091 4.672 6.098
W 0.000 0.000 0.000
F 2.697 1.557 3.840
F 4.510 1.475 1.244
F 8.091 4.672 4.242
F 7.256 3.169 1.244
F 3.532 3.060 6.838
F 4.416 4.700 1.244
F 6.372 1.529 6.838
F 6.278 4.754 6.838
```